(1)
Entry from Alexandria via LeMat-Bulk: crystalline CoAgW2 at its relaxed geometry (PBE).

Structure (POSCAR):
```
CoAgW2
1.0
-6.647 1.846 -6.334
-7.052 -0.875 -6.100
-8.263 0.859 -4.324
Ag Co W
1 1 2
Cartesian
-16.471 1.373 -12.569 Ag
-5.490 0.458 -4.190 Co
-21.788 1.816 -16.627 W
-11.154 0.930 -8.512 W
```

As for the space group: R-3m (166). For the energy above the most stable polymorph in this dataset, the calculation gives 0.45 eV/f.u.



(2)
Entry from Alexandria via LeMat-Bulk: crystalline CoAgW2 at its relaxed geometry (PBE).

Structure (POSCAR):
```
CoAgW2
1.0
-0.005 4.224 -1.312
-1.982 1.137 -3.787
-3.754 2.337 0.083
Ag Co W
1 1 2
Cartesian
-2.871 3.849 -2.508 Ag
-4.306 5.774 -3.762 Co
0.000 0.000 0.000 W
-1.435 1.925 -1.254 W
```

As for the space group: F-43m (216). For the energy above the most stable polymorph in this dataset, the calculation gives 1.28 eV/f.u.



(3)
Entry from Alexandria via LeMat-Bulk: crystalline Co2AgW at its relaxed geometry (PBE).

Structure (POSCAR):
```
Co2AgW
1.0
6.639 0.000 0.000
0.000 6.639 0.000
3.319 3.319 2.720
Co Ag W
4 2 2
Cartesian
5.192 1.660 0.680 Co
1.447 4.979 0.680 Co
4.979 4.766 2.040 Co
8.299 8.511 2.040 Co
3.319 3.319 0.000 Ag
3.319 6.639 1.360 Ag
0.000 0.000 0.000 W
6.639 3.319 1.360 W
```

As for the space group: I-42d (122). For the energy above the most stable polymorph in this dataset, the calculation gives 2.00 eV/f.u.